# 1
Density functional theory data (PBE-GGA) for a relaxed structure of PuThSi4.

## Properties
Uncorrected energy = -7.470 eV per atom
Formation energy from raw total energies = -0.2291 eV per atom

a b c (Å): 3.9887 4.0424 7.0534
angles (deg): 90.00 90.00 90.00
Last column: nearest neighbours and their distance in Å.
Space group Pmmm (No. 47)
Unique sites:
Pu: 0.0000 0.0000 0.0000 x1  12 Si 3.04-3.06
Th: 0.0000 0.5000 0.5000 x1  12 Si 3.09-3.12
Si: 0.5000 0.0000 0.3255 x2  3 Si 2.33-2.46
Si: 0.5000 0.5000 0.1604 x2  3 Si 2.26-2.33


# 2
Density functional theory data (PBE-GGA) for a relaxed structure of PuThSi.

## Properties
Uncorrected energy = -9.189 eV per atom
Formation energy from raw total energies = -0.1306 eV per atom

a b c (Å): 3.4103 5.0408 8.2291
angles (deg): 90.00 90.00 90.00
Last column: nearest neighbours and their distance in Å.
Space group Pmmm (No. 47)
Unique sites:
Pu: 0.0000 0.0000 0.1758 x2  2 Si 2.89, 1 Pu 2.89, 2 Th 3.17
Th: 0.5000 0.0000 0.5000 x1  4 Pu 3.17, 8 Si 3.29, 2 Th 3.41
Th: 0.5000 0.5000 0.0000 x1  4 Si 3.32, 8 Pu 3.37, 2 Th 3.41
Si: 0.0000 0.5000 0.3468 x2  1 Si 2.52